Compound: Ce6Hg3H
Source: the Alexandria database
Functional: PBE
Structure: relaxed

abc: 9.622 9.622 5.108
angles: 90.00 90.00 96.35
Fractional coordinates of all 20 atoms:
Ce  0.054  0.587  0.500
Ce  0.083  0.917  0.500
Ce  0.236  0.432  0.000
Ce  0.269  0.731  0.000
Ce  0.413  0.946  0.500
Ce  0.432  0.236  0.500
Ce  0.568  0.764  0.000
Ce  0.587  0.054  0.000
Ce  0.731  0.269  0.500
Ce  0.764  0.568  0.500
Ce  0.917  0.083  0.000
Ce  0.946  0.413  0.000
Hg  0.083  0.250  0.500
Hg  0.250  0.083  0.000
Hg  0.422  0.578  0.500
Hg  0.578  0.422  0.000
Hg  0.750  0.917  0.500
Hg  0.917  0.750  0.000
H  0.240  0.760  0.497
H  0.760  0.240  0.997

ρ in g/cm³: 10.20
Electronic total energy in eV/atom: -4.2010
Space group: No. 36

=====

Compound: Ce3HgH3
Source: the Alexandria database
Functional: PBE
Structure: relaxed

abc: 6.395 6.395 6.395
angles: 90.00 90.00 90.00
Fractional coordinates of all 14 atoms:
Ce  0.000  0.250  0.500
Ce  0.000  0.750  0.500
Ce  0.250  0.500  0.000
Ce  0.500  0.000  0.250
Ce  0.500  0.000  0.750
Ce  0.750  0.500  0.000
Hg  0.000  0.000  0.000
Hg  0.500  0.500  0.500
H  0.000  0.500  0.250
H  0.000  0.500  0.750
H  0.250  0.000  0.500
H  0.500  0.250  0.000
H  0.500  0.750  0.000
H  0.750  0.000  0.500

ρ in g/cm³: 7.92
Distance to the lowest polymorph of the same formula in meV/atom: 0
Space group: No. 223